Entry 1:
VASP calculation (PBE) on Ac2HoTl3 after structural relaxation.

Geometry as POSCAR:
```
Ac2HoTl3
1.0
3.973 0.000 0.000
0.000 3.973 0.000
0.000 0.000 12.302
Ac Ho Tl
2 1 3
Direct
0.000 0.000 0.178
0.000 0.000 0.822
0.000 0.000 0.500
0.500 0.500 0.000
0.500 0.500 0.360
0.500 0.500 0.640
```

As for the space-group type: P4/mmm. As for the spin magnetization: 0.0 μB per formula unit. For the energy of formation from the pure elements, the calculation gives -32.7 kJ/mol of atoms. The calculation puts the density at 10.537 g/cm3.

---

Entry 2:
VASP calculation (PBE) on AcHoTmTl after structural relaxation.

Geometry as POSCAR:
```
AcHoTmTl
1.0
0.000 3.961 3.961
3.961 0.000 3.961
3.961 3.961 0.000
Ac Ho Tm Tl
1 1 1 1
Direct
0.000 0.000 0.000
0.750 0.750 0.750
0.250 0.250 0.250
0.500 0.500 0.500
```

As for the space-group type: F-43m. As for the spin magnetization: 1.3 μB per formula unit. For the energy of formation from the pure elements, the calculation gives 8.0 kJ/mol of atoms. The calculation puts the density at 10.224 g/cm3.

---

Entry 3:
VASP calculation (PBE) on AcHoTm2Tl4 after structural relaxation.

Geometry as POSCAR:
```
AcHoTm2Tl4
1.0
2.727 1.574 9.025
-2.727 1.574 9.025
0.000 -3.149 9.025
Ac Ho Tm Tl
1 1 2 4
Direct
0.000 0.000 0.000
0.500 0.500 0.500
0.248 0.248 0.248
0.752 0.752 0.752
0.129 0.129 0.129
0.381 0.381 0.381
0.619 0.619 0.619
0.871 0.871 0.871
```

As for the space-group type: R-3m. As for the spin magnetization: 0.0 μB per formula unit. For the energy of formation from the pure elements, the calculation gives -27.8 kJ/mol of atoms. The calculation puts the density at 11.052 g/cm3.

---

no.,electronic total energy (eV/atom)
1,-3.65
2,-3.80
3,-3.67